(1)
CdGaI3 | GGA-PBE | optimized geometry

a = 4.269 Å, b = 8.061 Å, c = 12.220 Å
α = 90.00°, β = 100.06°, γ = 90.00°
Fractional coordinates of all 10 atoms:
I (0.418, 0.837, 0.835)
I (0.911, 0.331, 0.821)
I (0.089, 0.831, 0.179)
I (0.582, 0.337, 0.165)
I (0.772, 0.611, 0.543)
I (0.228, 0.111, 0.457)
Ga (0.837, 0.985, 0.673)
Ga (0.163, 0.485, 0.327)
Cd (0.642, 0.030, 0.284)
Cd (0.358, 0.530, 0.716)

Results
Uncorrected energy   -21.73 eV for the cell shown
Formation energy (no corrections)   -454 meV per atom


(2)
SiAsP2S | GGA-PBE | optimized geometry

a = 4.545 Å, b = 4.545 Å, c = 4.406 Å
α = 90.00°, β = 90.00°, γ = 90.00°
Fractional coordinates of all 5 atoms:
P (0.000, 0.500, 0.000)
P (0.500, 0.000, 0.000)
S (0.000, 0.000, 0.500)
Si (0.000, 0.000, 0.000)
As (0.500, 0.500, 0.500)

Results
Uncorrected energy   -21.51 eV for the cell shown
Formation energy (no corrections)   703 meV per atom